Compound: PrSiS4
Source: Alexandria
Functional: PBE-GGA
Structure: optimized geometry

```
12
Lattice="5.788 0.000 0.000 0.000 9.128 0.000 -0.981 0.000 5.706" Properties=species:S:1:pos:R:3 pbc="T T T"
Pr 0.629 2.282 0.777
Pr 4.178 6.846 4.929
Si 1.805 6.846 2.114
Si 3.002 2.282 3.592
S 0.938 5.196 1.086
S 0.938 8.496 1.086
S 0.893 2.282 3.738
S 1.304 6.846 4.167
S 3.503 2.282 1.539
S 3.914 6.846 1.967
S 3.869 0.632 4.620
S 3.869 3.932 4.620
```

Properties
As for the crystal system: monoclinic. Its energy relative to the elements, uncorrected is -1038 meV/atom. As for the space group: No. 11.